{
  "formula": "LiZr2Fe",
  "functional": "GGA-PBEsol",
  "state": "relaxed",
  "sg": "R-3m, No. 166",
  "formation_enthalpy_0k_ev_per_atom": 0.2032,
  "rho_g_cm3": 5.2,
  "lattice": [[1.642, 0.948, 8.382], [-1.642, 0.948, 8.382], [0.000, -1.896, 8.382]],
  "species": ["Li", "Zr", "Zr", "Fe"],
  "frac_coords": [[0.000, 0.000, 0.000], [0.231, 0.231, 0.231], [0.769, 0.769, 0.769], [0.500, 0.500, 0.500]]
}